# 1
Hf2ZrC | Alexandria via LeMat-Bulk | PBE-GGA | optimized geometry; D(E_F) = 0.573 states/eV/atom; energy of formation from the pure elements = -0.2676 eV/atom; ρ = 9.939 g/cm³
1.0
1.607 0.928 8.599
-1.607 0.928 8.599
0.000 -1.855 8.599
Hf Zr C
2 1 1
Cartesian
0.000 0.000 3.046
0.000 0.000 22.752
0.000 0.000 0.000
0.000 0.000 12.899

# 2
Sm5Tl5Ir | Alexandria via LeMat-Bulk | PBE-GGA | optimized geometry; D(E_F) = 0.733 states/eV/atom; energy of formation from the pure elements = -0.2579 eV/atom; ρ = 9.408 g/cm³
1.0
7.919 -2.763 0.000
7.919 2.763 0.000
-4.930 0.000 7.930
Sm Tl Ir
5 5 1
Cartesian
0.000 0.000 0.000
5.197 0.000 0.461
2.351 0.000 5.219
8.557 0.000 2.711
5.710 0.000 7.469
-1.920 0.000 5.592
2.422 0.000 2.010
5.454 0.000 3.965
8.486 0.000 5.920
12.828 0.000 2.338
7.919 0.000 0.000